A relaxed TmTl2Co3F12 crystal, computed with GGA+U.

E in eV/atom: -5.07
Crystal system: trigonal
DOS(E_F) in states/eV per atom: 0.444
Calculated volume in Å³ per atom: 16.80
Magnetization in μB per atom: 0.56

Cell lengths 7.6256, 7.6256, 7.6256 Å; angles 58.44, 58.44, 58.44 degrees
With the nearest neighbours (Å) after each atom.
Positions (direct):
Tm1 0.0000 0.0000 0.0000  6 F 2.14
Tl1 0.6009 0.6009 0.6009  3 F 3.04
Tl2 0.3991 0.3991 0.3991  3 F 3.04
Co1 0.5000 0.0000 0.0000  6 F 1.99-2.02
Co2 0.0000 0.5000 0.0000  6 F 1.99-2.02
Co3 0.0000 0.0000 0.5000  6 F 1.99-2.02
F1 0.3160 0.3160 0.9199  2 Co 1.99
F2 0.9225 0.9225 0.3398  1 Co 2.02, 1 Tm 2.14
F3 0.3398 0.9225 0.9225  1 Co 2.02, 1 Tm 2.14
F4 0.9199 0.3160 0.3160  2 Co 1.99
F5 0.9225 0.3398 0.9225  1 Co 2.02, 1 Tm 2.14
F6 0.3160 0.9199 0.3160  2 Co 1.99
F7 0.6840 0.6840 0.0801  2 Co 1.99
F8 0.0775 0.0775 0.6602  1 Co 2.02, 1 Tm 2.14
F9 0.6602 0.0775 0.0775  1 Co 2.02, 1 Tm 2.14
F10 0.0801 0.6840 0.6840  2 Co 1.99
F11 0.0775 0.6602 0.0775  1 Co 2.02, 1 Tm 2.14
F12 0.6840 0.0801 0.6840  2 Co 1.99